Here is DyHoZn2Pb2 after structural relaxation from the Open Quantum Materials Database. Energies are from PBE.

POSCAR file:
```
DyHoZn2Pb2
1.0
4.585 0.000 0.000
-2.293 3.971 0.000
0.000 0.000 15.986
Dy Zn Pb Ho
2 4 4 2
Direct
0.000 0.000 0.250
0.000 0.000 0.750
0.333 0.667 0.335
0.333 0.667 0.165
0.667 0.333 0.835
0.667 0.333 0.665
0.333 0.667 0.890
0.667 0.333 0.110
0.667 0.333 0.390
0.333 0.667 0.610
0.000 0.000 0.000
0.000 0.000 0.500
```



Here is KLuCoS3 after structural relaxation from the Open Quantum Materials Database. Energies are from PBE.

POSCAR file:
```
KLuCoS3
1.0
14.460 0.000 0.000
0.000 3.813 0.000
0.000 0.000 10.369
Co S Lu K
4 12 4 4
Direct
0.490 0.250 0.086
0.990 0.250 0.414
0.510 0.750 0.914
0.010 0.750 0.586
0.877 0.250 0.260
0.123 0.750 0.740
0.929 0.250 0.607
0.377 0.250 0.240
0.097 0.250 0.074
0.597 0.250 0.426
0.571 0.750 0.107
0.403 0.750 0.574
0.903 0.750 0.926
0.429 0.250 0.893
0.071 0.750 0.393
0.623 0.750 0.760
0.019 0.250 0.846
0.981 0.750 0.154
0.519 0.250 0.654
0.481 0.750 0.346
0.767 0.750 0.461
0.233 0.250 0.539
0.267 0.750 0.039
0.733 0.250 0.961
```

Values from the calculation:
The value obtained for the relative energy among the computed polymorphs is 0.03 eV per formula unit.



Here is LiTmAg after structural relaxation from the Open Quantum Materials Database. Energies are from PBE.

POSCAR file:
```
LiTmAg
1.0
-1.949 0.014 4.325
-4.706 -0.344 0.482
-1.921 -3.969 1.749
Ag Li Tm
1 1 1
Direct
0.250 0.250 0.250
0.750 0.750 0.750
0.000 0.000 0.000
```



Here is TmHgAsO after structural relaxation from the Open Quantum Materials Database. Energies are from PBE.

POSCAR file:
```
TmHgAsO
1.0
-3.845 -2.099 0.002
2.660 -4.877 -1.882
1.008 -1.842 6.196
As O Hg Tm
2 2 2 2
Direct
0.000 0.756 0.360
0.000 0.244 0.860
0.500 0.741 0.913
0.500 0.259 0.413
0.500 0.728 0.556
0.500 0.272 0.056
0.000 0.253 0.425
0.000 0.747 0.925
```

Values from the calculation:
The value obtained for the relative energy among the computed polymorphs is 1.01 eV per formula unit.



Here is HfMg5 after structural relaxation from the Open Quantum Materials Database. Energies are from PBE.

POSCAR file:
```
HfMg5
1.0
2.762 4.784 0.000
-2.762 4.784 0.000
0.000 0.000 5.069
Mg Hf
5 1
Direct
0.335 0.665 0.500
0.667 0.667 0.000
0.333 0.333 0.000
0.000 0.335 0.500
0.665 0.000 0.500
0.000 0.000 0.000
```



Here is KTaAgS3 after structural relaxation from the Open Quantum Materials Database. Energies are from PBE.

POSCAR file:
```
KTaAgS3
1.0
7.382 -1.806 0.000
7.382 1.806 0.000
0.000 0.000 9.906
K S Ta Ag
2 6 2 2
Direct
0.257 0.257 0.750
0.743 0.743 0.250
0.619 0.619 0.526
0.381 0.381 0.026
0.935 0.935 0.750
0.381 0.381 0.474
0.619 0.619 0.974
0.065 0.065 0.250
0.000 0.000 0.000
0.000 0.000 0.500
0.556 0.556 0.750
0.444 0.444 0.250
```



Number 1: energy -3.580 eV per atom. Number 2: energy -5.489 eV per atom. Number 3: energy -2.704 eV per atom. Number 4: energy -4.875 eV per atom. Number 5: energy -2.790 eV per atom. Number 6: energy -5.400 eV per atom.